(1)
The following is a GGA-PBE calculation of Tm8Os after structural relaxation, from OQMD.

The structure in CIF format:
```
data_Tm8Os
_symmetry_space_group_name_H-M 'P 1'
_symmetry_Int_Tables_number 1
_cell_length_a 8.922
_cell_length_b 8.922
_cell_length_c 3.611
_cell_angle_alpha 90.00
_cell_angle_beta 90.00
_cell_angle_gamma 120.00
loop_
_symmetry_equiv_pos_as_xyz
'x,y,z'
loop_
_atom_site_label
_atom_site_type_symbol
_atom_site_fract_x
_atom_site_fract_y
_atom_site_fract_z
Tm1 Tm 0.667 0.333 0.500
Tm2 Tm 0.000 0.246 0.500
Tm3 Tm 0.754 0.754 0.500
Tm4 Tm 0.333 0.667 0.500
Tm5 Tm 0.246 0.000 0.500
Tm6 Tm 0.627 0.000 0.000
Tm7 Tm 0.000 0.627 0.000
Tm8 Tm 0.373 0.373 0.000
Os1 Os 0.000 0.000 0.000
```

Output
Space-group type   P-62m (189)
Formation energy from the elements   -71 meV per atom
Spin magnetization   0.003 μB/atom

(2)
The following is a GGA-PBE calculation of ZnTe after structural relaxation, from OQMD.

The structure in CIF format:
```
data_ZnTe
_symmetry_space_group_name_H-M 'P 1'
_symmetry_Int_Tables_number 1
_cell_length_a 12.506
_cell_length_b 3.599
_cell_length_c 4.130
_cell_angle_alpha 90.00
_cell_angle_beta 90.00
_cell_angle_gamma 90.00
loop_
_symmetry_equiv_pos_as_xyz
'x,y,z'
loop_
_atom_site_label
_atom_site_type_symbol
_atom_site_fract_x
_atom_site_fract_y
_atom_site_fract_z
Zn1 Zn 0.973 0.000 0.000
Zn2 Zn 0.113 0.000 0.500
Zn3 Zn 0.944 0.500 0.500
Zn4 Zn 0.804 0.500 0.000
Te1 Te 0.188 0.500 0.000
Te2 Te 0.728 0.000 0.500
Te3 Te 0.507 0.000 0.000
Te4 Te 0.410 0.500 0.500
```

Output
Space-group type   Pmmn (59)
E   -2.087 eV per atom

(3)
The following is a GGA-PBE calculation of Li2InCu2SnAu2 after structural relaxation, from OQMD.

The structure in CIF format:
```
data_Li2InCu2SnAu2
_symmetry_space_group_name_H-M 'P 1'
_symmetry_Int_Tables_number 1
_cell_length_a 4.551
_cell_length_b 4.551
_cell_length_c 6.423
_cell_angle_alpha 90.00
_cell_angle_beta 90.00
_cell_angle_gamma 90.00
loop_
_symmetry_equiv_pos_as_xyz
'x,y,z'
loop_
_atom_site_label
_atom_site_type_symbol
_atom_site_fract_x
_atom_site_fract_y
_atom_site_fract_z
Au1 Au 0.000 0.500 0.752
Au2 Au 0.500 0.000 0.248
Cu1 Cu 0.500 0.000 0.751
Cu2 Cu 0.000 0.500 0.249
Sn1 Sn 0.500 0.500 0.500
In1 In 0.000 0.000 0.000
Li1 Li 0.500 0.500 0.000
Li2 Li 0.000 0.000 0.500
```

Output
Space-group type   P-4m2 (115)
E   -3.332 eV per atom

(4)
The following is a GGA-PBE calculation of HoHfCSe after structural relaxation, from OQMD.

The structure in CIF format:
```
data_HoHfCSe
_symmetry_space_group_name_H-M 'P 1'
_symmetry_Int_Tables_number 1
_cell_length_a 3.557
_cell_length_b 3.557
_cell_length_c 12.921
_cell_angle_alpha 90.00
_cell_angle_beta 90.00
_cell_angle_gamma 120.00
loop_
_symmetry_equiv_pos_as_xyz
'x,y,z'
loop_
_atom_site_label
_atom_site_type_symbol
_atom_site_fract_x
_atom_site_fract_y
_atom_site_fract_z
Se1 Se 0.333 0.667 0.000
Se2 Se 0.667 0.333 0.500
C1 C 0.000 0.000 0.269
C2 C 0.000 0.000 0.731
Ho1 Ho 0.667 0.333 0.155
Ho2 Ho 0.667 0.333 0.845
Hf1 Hf 0.333 0.667 0.351
Hf2 Hf 0.333 0.667 0.649
```

Output
Space-group type   P-6m2 (187)
E   -7.954 eV per atom
Spin magnetization   0.000 μB/atom

(5)
The following is a GGA-PBE calculation of TbPmPb after structural relaxation, from OQMD.

The structure in CIF format:
```
data_TbPmPb
_symmetry_space_group_name_H-M 'P 1'
_symmetry_Int_Tables_number 1
_cell_length_a 5.243
_cell_length_b 5.243
_cell_length_c 5.243
_cell_angle_alpha 60.00
_cell_angle_beta 60.00
_cell_angle_gamma 60.00
loop_
_symmetry_equiv_pos_as_xyz
'x,y,z'
loop_
_atom_site_label
_atom_site_type_symbol
_atom_site_fract_x
_atom_site_fract_y
_atom_site_fract_z
Pm1 Pm 0.250 0.250 0.250
Pb1 Pb 0.000 0.000 0.000
Tb1 Tb 0.750 0.750 0.750
```

Output
Space-group type   F-43m (216)
E   -4.596 eV per atom
Spin magnetization   0.028 μB/atom

(6)
The following is a GGA-PBE calculation of NaCd2Pt after structural relaxation, from OQMD.

The structure in CIF format:
```
data_NaCd2Pt
_symmetry_space_group_name_H-M 'P 1'
_symmetry_Int_Tables_number 1
_cell_length_a 3.040
_cell_length_b 3.040
_cell_length_c 8.804
_cell_angle_alpha 90.00
_cell_angle_beta 90.00
_cell_angle_gamma 90.00
loop_
_symmetry_equiv_pos_as_xyz
'x,y,z'
loop_
_atom_site_label
_atom_site_type_symbol
_atom_site_fract_x
_atom_site_fract_y
_atom_site_fract_z
Cd1 Cd 0.500 0.500 0.281
Cd2 Cd 0.500 0.500 0.719
Pt1 Pt 0.000 0.000 0.500
Na1 Na 0.000 0.000 0.000
```

Output
Space-group type   P4/mmm (123)
E   -2.463 eV per atom
Spin magnetization   0.001 μB/atom

(7)
The following is a GGA-PBE calculation of Y4Zr2S3N3 after structural relaxation, from OQMD.

The structure in CIF format:
```
data_Y4Zr2S3N3
_symmetry_space_group_name_H-M 'P 1'
_symmetry_Int_Tables_number 1
_cell_length_a 6.107
_cell_length_b 6.107
_cell_length_c 12.975
_cell_angle_alpha 76.43
_cell_angle_beta 76.43
_cell_angle_gamma 60.07
loop_
_symmetry_equiv_pos_as_xyz
'x,y,z'
loop_
_atom_site_label
_atom_site_type_symbol
_atom_site_fract_x
_atom_site_fract_y
_atom_site_fract_z
S1 S 0.417 0.268 0.249
S2 S 0.732 0.583 0.251
S3 S 0.898 0.102 0.750
S4 S 0.268 0.417 0.749
S5 S 0.102 0.898 0.250
S6 S 0.583 0.732 0.751
Zr1 Zr 0.532 0.363 0.906
Zr2 Zr 0.637 0.468 0.594
Zr3 Zr 0.468 0.637 0.094
Zr4 Zr 0.363 0.532 0.406
Y1 Y 0.702 0.871 0.396
Y2 Y 0.962 0.801 0.604
Y3 Y 0.199 0.038 0.896
Y4 Y 0.871 0.702 0.896
Y5 Y 0.298 0.129 0.604
Y6 Y 0.129 0.298 0.104
Y7 Y 0.038 0.199 0.396
Y8 Y 0.801 0.962 0.104
N1 N 0.338 0.823 0.500
N2 N 0.000 0.500 0.500
N3 N 0.662 0.177 0.500
N4 N 0.823 0.338 0.000
N5 N 0.500 0.000 0.000
N6 N 0.177 0.662 0.000
```

Output
Space-group type   C2/c (15)
E   -8.454 eV per atom
Spin magnetization   0.001 μB/atom

(8)
The following is a GGA-PBE calculation of TbYB2As2Ir2 after structural relaxation, from OQMD.

The structure in CIF format:
```
data_TbYB2As2Ir2
_symmetry_space_group_name_H-M 'P 1'
_symmetry_Int_Tables_number 1
_cell_length_a 3.972
_cell_length_b 3.972
_cell_length_c 8.662
_cell_angle_alpha 90.00
_cell_angle_beta 90.00
_cell_angle_gamma 90.00
loop_
_symmetry_equiv_pos_as_xyz
'x,y,z'
loop_
_atom_site_label
_atom_site_type_symbol
_atom_site_fract_x
_atom_site_fract_y
_atom_site_fract_z
B1 B 0.000 0.000 0.606
B2 B 0.500 0.500 0.393
Ir1 Ir 0.000 0.500 0.500
Ir2 Ir 0.500 0.000 0.500
As1 As 0.000 0.000 0.855
As2 As 0.500 0.500 0.144
Tb1 Tb 0.000 0.000 0.211
Y1 Y 0.500 0.500 0.791
```

Output
Space-group type   P4mm (99)
E   -7.303 eV per atom
Spin magnetization   0.000 μB/atom

(9)
The following is a GGA-PBE calculation of LiGdMgS3 after structural relaxation, from OQMD.

The structure in CIF format:
```
data_LiGdMgS3
_symmetry_space_group_name_H-M 'P 1'
_symmetry_Int_Tables_number 1
_cell_length_a 6.475
_cell_length_b 6.475
_cell_length_c 11.053
_cell_angle_alpha 90.00
_cell_angle_beta 90.00
_cell_angle_gamma 144.51
loop_
_symmetry_equiv_pos_as_xyz
'x,y,z'
loop_
_atom_site_label
_atom_site_type_symbol
_atom_site_fract_x
_atom_site_fract_y
_atom_site_fract_z
Li1 Li 0.747 0.253 0.750
Li2 Li 0.253 0.747 0.250
Mg1 Mg 0.525 0.475 0.250
Mg2 Mg 0.475 0.525 0.750
S1 S 0.638 0.362 0.076
S2 S 0.908 0.092 0.250
S3 S 0.362 0.638 0.576
S4 S 0.638 0.362 0.424
S5 S 0.092 0.908 0.750
S6 S 0.362 0.638 0.924
Gd1 Gd 0.000 0.000 0.000
Gd2 Gd 0.000 0.000 0.500
```

Output
Space-group type   Cmcm (63)
E   -4.928 eV per atom
Spin magnetization   0.002 μB/atom

(10)
The following is a GGA-PBE calculation of TmTaN2O after structural relaxation, from OQMD.

The structure in CIF format:
```
data_TmTaN2O
_symmetry_space_group_name_H-M 'P 1'
_symmetry_Int_Tables_number 1
_cell_length_a 7.821
_cell_length_b 7.851
_cell_length_c 7.855
_cell_angle_alpha 89.96
_cell_angle_beta 87.45
_cell_angle_gamma 89.89
loop_
_symmetry_equiv_pos_as_xyz
'x,y,z'
loop_
_atom_site_label
_atom_site_type_symbol
_atom_site_fract_x
_atom_site_fract_y
_atom_site_fract_z
O1 O 0.498 0.572 0.275
O2 O 0.502 0.428 0.674
O3 O 0.834 0.246 0.690
O4 O 0.711 0.252 0.310
O5 O 0.000 0.927 0.775
O6 O 0.166 0.754 0.259
O7 O 0.289 0.748 0.640
O8 O 0.000 0.073 0.174
N1 N 0.706 0.062 0.975
N2 N 0.695 0.435 0.979
N3 N 0.294 0.938 0.974
N4 N 0.795 0.552 0.476
N5 N 0.305 0.565 0.971
N6 N 0.331 0.251 0.188
N7 N 0.809 0.945 0.474
N8 N 0.191 0.055 0.475
N9 N 0.207 0.248 0.796
N10 N 0.998 0.560 0.777
N11 N 0.002 0.440 0.172
N12 N 0.793 0.752 0.153
N13 N 0.669 0.749 0.762
N14 N 0.501 0.059 0.672
N15 N 0.205 0.448 0.473
N16 N 0.499 0.941 0.277
Ta1 Ta 0.262 0.006 0.221
Ta2 Ta 0.738 0.994 0.729
Ta3 Ta 0.246 0.486 0.219
Ta4 Ta 0.761 0.509 0.216
Ta5 Ta 0.239 0.491 0.733
Ta6 Ta 0.749 0.990 0.231
Ta7 Ta 0.754 0.515 0.730
Ta8 Ta 0.251 0.010 0.718
Tm1 Tm 0.050 0.750 0.995
Tm2 Tm 0.460 0.251 0.456
Tm3 Tm 0.950 0.250 0.955
Tm4 Tm 0.519 0.752 0.016
Tm5 Tm 0.481 0.248 0.934
Tm6 Tm 0.974 0.252 0.442
Tm7 Tm 0.540 0.749 0.493
Tm8 Tm 0.026 0.748 0.508
```

Output
Space-group type   P-1 (2)
E   -9.573 eV per atom
Spin magnetization   0.000 μB/atom

(11)
The following is a GGA-PBE calculation of AcSmTl after structural relaxation, from OQMD.

The structure in CIF format:
```
data_AcSmTl
_symmetry_space_group_name_H-M 'P 1'
_symmetry_Int_Tables_number 1
_cell_length_a 5.454
_cell_length_b 5.454
_cell_length_c 5.454
_cell_angle_alpha 60.00
_cell_angle_beta 60.00
_cell_angle_gamma 60.00
loop_
_symmetry_equiv_pos_as_xyz
'x,y,z'
loop_
_atom_site_label
_atom_site_type_symbol
_atom_site_fract_x
_atom_site_fract_y
_atom_site_fract_z
Tl1 Tl 0.000 0.000 0.000
Ac1 Ac 0.250 0.250 0.250
Sm1 Sm 0.750 0.750 0.750
```

Output
Space-group type   F-43m (216)
E   -3.765 eV per atom
Spin magnetization   0.308 μB/atom

(12)
The following is a GGA-PBE calculation of PmCoAs after structural relaxation, from OQMD.

The structure in CIF format:
```
data_PmCoAs
_symmetry_space_group_name_H-M 'P 1'
_symmetry_Int_Tables_number 1
_cell_length_a 4.391
_cell_length_b 4.391
_cell_length_c 4.391
_cell_angle_alpha 60.00
_cell_angle_beta 60.00
_cell_angle_gamma 60.00
loop_
_symmetry_equiv_pos_as_xyz
'x,y,z'
loop_
_atom_site_label
_atom_site_type_symbol
_atom_site_fract_x
_atom_site_fract_y
_atom_site_fract_z
Co1 Co 0.000 0.000 0.000
As1 As 0.250 0.250 0.250
Pm1 Pm 0.750 0.750 0.750
```

Output
Space-group type   F-43m (216)
E   -6.069 eV per atom
Spin magnetization   0.331 μB/atom